(1)
Ni2BiS: single point on PBEsol structure, meta-GGA SCAN. Values from VASP.

Geometry as Quantum ESPRESSO input:
```
&SYSTEM
  ibrav = 0, nat = 16, ntyp = 3
/
ATOMIC_SPECIES
Ni 58.69 Ni.upf
Bi 208.98 Bi.upf
S 32.06 S.upf
CELL_PARAMETERS angstrom
6.247 0.000 0.000
0.000 6.247 0.000
0.000 0.000 6.247
ATOMIC_POSITIONS crystal
Ni 0.250 0.250 0.250
Ni 0.250 0.250 0.750
Ni 0.250 0.750 0.250
Ni 0.250 0.750 0.750
Ni 0.750 0.250 0.250
Ni 0.750 0.250 0.750
Ni 0.750 0.750 0.250
Ni 0.750 0.750 0.750
Bi 0.000 0.000 0.000
Bi 0.000 0.500 0.500
Bi 0.500 0.000 0.500
Bi 0.500 0.500 0.000
S 0.000 0.000 0.500
S 0.000 0.500 0.000
S 0.500 0.000 0.000
S 0.500 0.500 0.500
```

Values from the calculation:
As for the uncorrected formation energy: 0.3893 eV/atom. Its energy relative to the lowest polymorph listed for this composition is 0.5642 eV/atom. As for the crystal system: cubic.

***

(2)
Li5Nb2Fe5O12: single point on PBEsol structure, meta-GGA SCAN. Values from VASP.

Geometry as Quantum ESPRESSO input:
```
&SYSTEM
  ibrav = 0, nat = 24, ntyp = 4
/
ATOMIC_SPECIES
Li 6.94 Li.upf
Nb 92.91 Nb.upf
Fe 55.84 Fe.upf
O 16.00 O.upf
CELL_PARAMETERS angstrom
5.052 0.000 0.000
2.493 4.481 0.000
1.848 0.029 9.719
ATOMIC_POSITIONS crystal
Li 0.000 0.000 0.000
Li 0.113 0.290 0.756
Li 0.347 0.287 0.008
Li 0.491 0.004 0.516
Li 0.859 0.292 0.516
Nb 0.442 0.640 0.765
Nb 0.935 0.664 0.260
Fe 0.180 0.642 0.519
Fe 0.241 0.955 0.257
Fe 0.636 0.256 0.260
Fe 0.682 0.640 0.984
Fe 0.771 0.953 0.760
O 0.070 0.633 0.882
O 0.161 0.960 0.637
O 0.222 0.315 0.376
O 0.314 0.633 0.130
O 0.369 0.985 0.883
O 0.470 0.321 0.638
O 0.563 0.636 0.376
O 0.654 0.955 0.129
O 0.723 0.299 0.879
O 0.809 0.628 0.637
O 0.879 0.967 0.404
O 0.973 0.319 0.141
```

Values from the calculation:
As for the uncorrected formation energy: -2.0268 eV/atom. As for the crystal system: triclinic.

***

(3)
KGdTe2: single point on PBEsol structure, meta-GGA SCAN. Values from VASP.

Geometry as Quantum ESPRESSO input:
```
&SYSTEM
  ibrav = 0, nat = 12, ntyp = 3
/
ATOMIC_SPECIES
K 39.10 K.upf
Gd 157.25 Gd.upf
Te 127.60 Te.upf
CELL_PARAMETERS angstrom
4.456 0.000 0.000
-2.228 3.859 0.000
0.000 0.000 24.286
ATOMIC_POSITIONS crystal
K 0.000 0.000 0.000
K 0.333 0.667 0.667
K 0.667 0.333 0.333
Gd 0.000 0.000 0.500
Gd 0.333 0.667 0.167
Gd 0.667 0.333 0.833
Te 0.000 0.000 0.237
Te 0.000 0.000 0.763
Te 0.333 0.667 0.430
Te 0.333 0.667 0.904
Te 0.667 0.333 0.096
Te 0.667 0.333 0.570
```

Values from the calculation:
As for the uncorrected formation energy: -1.5500 eV/atom. As for the crystal system: trigonal.

***

(4)
GaGeAs3: single point on PBEsol structure, meta-GGA SCAN. Values from VASP.

Geometry as Quantum ESPRESSO input:
```
&SYSTEM
  ibrav = 0, nat = 5, ntyp = 3
/
ATOMIC_SPECIES
Ga 69.72 Ga.upf
Ge 72.64 Ge.upf
As 74.92 As.upf
CELL_PARAMETERS angstrom
4.905 0.000 0.000
0.000 4.905 0.000
0.000 0.000 4.905
ATOMIC_POSITIONS crystal
Ga 0.000 0.000 0.000
Ge 0.500 0.500 0.500
As 0.000 0.500 0.500
As 0.500 0.000 0.500
As 0.500 0.500 0.000
```

Values from the calculation:
The formation energy is 0.8109 eV/atom. As for the crystal system: cubic.